Entry 1:
Entry from Alexandria: a relaxed structure of Y2ThPaP4 (PBE).

Results
The space group is P2/m, No. 10.

Cell: 4.0409 6.9993 6.9597 Å, 109.53 90.00 90.00°
Sites, in units of the cell vectors:
P (0.0000, 0.7428, 0.2488)
Th (0.0000, 0.0000, 0.0000)
Y (0.5000, 0.0000, 0.5000)
Y (0.0000, 0.5000, 0.5000)
Pa (0.5000, 0.5000, 0.0000)
P (0.5000, 0.7416, 0.7479)
P (0.5000, 0.2584, 0.2521)
P (0.0000, 0.2572, 0.7512)

Entry 2:
Entry from Alexandria: a relaxed structure of NaNdHg14 (PBE).

Results
The space group is P4/mmm, No. 123.

Cell: 6.7869 6.7869 8.9874 Å, 90.00 90.00 89.99°
Sites, in units of the cell vectors:
Na (0.3750, 0.3750, 0.5000)
Hg (0.6217, 0.6217, 0.7519)
Hg (0.6217, 0.1283, 0.7519)
Hg (0.3750, 0.8750, 0.5000)
Hg (0.3750, 0.8750, 0.0000)
Hg (0.1283, 0.1283, 0.7519)
Hg (0.6217, 0.6217, 0.2481)
Hg (0.8750, 0.3750, 0.0000)
Hg (0.1283, 0.6217, 0.2481)
Hg (0.8750, 0.3750, 0.5000)
Hg (0.3750, 0.3750, 0.0000)
Hg (0.6217, 0.1283, 0.2481)
Nd (0.8750, 0.8750, 0.5000)
Hg (0.1283, 0.1283, 0.2481)
Hg (0.1283, 0.6217, 0.7519)
Hg (0.8750, 0.8750, 0.0000)

Entry 3:
Entry from Alexandria: a relaxed structure of YTiCu (PBE).

Results
The space group is P4/nmm, No. 129.

Cell: 4.3264 4.3264 6.7237 Å, 90.00 90.00 90.00°
Sites, in units of the cell vectors:
Cu (0.0000, 0.5000, 0.7779)
Ti (0.0000, 0.5000, 0.1234)
Y (0.5000, 0.5000, 0.5000)
Y (0.0000, 0.0000, 0.5000)
Ti (0.5000, 0.0000, 0.8766)
Cu (0.5000, 0.0000, 0.2221)

Entry 4:
Entry from Alexandria: a relaxed structure of MgSc2Cu (PBE).

Results
The space group is P4/mmm, No. 123.

Cell: 4.7661 4.7661 3.5032 Å, 90.01 90.01 90.02°
Sites, in units of the cell vectors:
Sc (0.0000, 0.0000, 0.0000)
Cu (0.5000, 0.0000, 0.5000)
Mg (0.0000, 0.5000, 0.5000)
Sc (0.5000, 0.5000, 0.0000)

| no. | formation energy (eV per atom) |
| --- | --- |
| 1 | -1.521 |
| 2 | -0.136 |
| 3 | 0.373 |
| 4 | -0.081 |